# ZrCr2Cd | Alexandria via LeMat-Bulk | PBE | optimized geometry
data_ZrCr2Cd
_chemical_formula_sum 'Zr1 Cr2 Cd1'
_cell_length_a 4.295
_cell_length_b 4.295
_cell_length_c 3.886
_cell_angle_alpha 90.00
_cell_angle_beta 90.00
_cell_angle_gamma 90.00
_symmetry_space_group_name_H-M 'P 4/m m m'
_symmetry_Int_Tables_number 123
_symmetry_space_group_name_Hall '-P 4 2'
loop_
_atom_site_label
_atom_site_fract_x
_atom_site_fract_y
_atom_site_fract_z
_atom_site_occupancy
Zr1 0.000 0.000 0.000 1
Cr1 0.000 0.500 0.500 1
Cd1 0.500 0.500 0.000 1
# Energy of formation from the pure elements, kJ/mol of formula units: 151
# Calculated density, g cm⁻³: 7.125